[1]
A geometry-optimized MoPdS2Cl structure. Source: the Alexandria database, functional PBE-GGA.

Computed properties:
Raw formation energy (meV per atom): 225
D(E_F) (states/eV/atom): 1.3043
E (eV per atom): -5.000

Cell: 4.650 4.650 4.840 Å, 90.00 90.00 90.00°
Fractional coordinates of all 5 atoms:
Mo 0.000 0.000 0.000
Pd 0.500 0.500 0.500
S 0.000 0.500 0.000
S 0.500 0.000 0.000
Cl 0.000 0.000 0.500

[2]
A geometry-optimized Ho4Pb2N structure. Source: the Alexandria database, functional PBE-GGA.

Computed properties:
Raw formation energy (meV per atom): -849
D(E_F) (states/eV/atom): 0.6305
E (eV per atom): -5.714

Cell: 8.666 8.666 8.666 Å, 148.35 148.35 45.37°
Fractional coordinates of all 7 atoms:
Ho 0.000 0.500 0.500
Ho 0.156 0.156 0.000
Ho 0.500 0.000 0.500
Ho 0.844 0.844 0.000
Pb 0.355 0.355 0.000
Pb 0.645 0.645 0.000
N 0.000 0.000 0.000

[3]
A geometry-optimized Fe2TeP structure. Source: the Alexandria database, functional PBE-GGA.

Computed properties:
Raw formation energy (meV per atom): 215
D(E_F) (states/eV/atom): 0.7849
E (eV per atom): -6.154

Cell: 3.045 3.045 6.486 Å, 90.00 90.00 90.00°
Fractional coordinates of all 4 atoms:
Fe 0.000 0.000 0.182
Fe 0.000 0.000 0.818
Te 0.500 0.500 0.500
P 0.500 0.500 0.000

The records above yield energy relative to the lowest polymorph listed for this composition values of 0 0 306 meV per atom, respectively.
The records above yield density values of 4.79 10.12 7.46 g/cm3, respectively.